RbSmSeI: relaxed, GGA-PBE.

Calculated values
E_form (uncorrected)	-1360	meV per atom
D(E_F)	5.138	states/eV per cell
volume	141	Å³/f.u.
total moment	0.0	μB per formula unit

abc: 7.493 4.332 9.050
angles: 90.00 105.98 90.00
Fractional coordinates of all 8 atoms:
Rb  0.000  0.000  0.000
Rb  0.500  0.500  0.000
Sm  0.191  0.000  0.573
Sm  0.691  0.500  0.573
Se  0.083  0.500  0.749
Se  0.583  0.000  0.749
I  0.277  0.500  0.331
I  0.777  0.000  0.331



LaThGaAg: relaxed, GGA-PBE.

Calculated values
ΔH_f (0 K)	-27.9	kJ/mol of atoms
D(E_F)	18.401	states/eV per cell
volume	106	Å³/f.u.
total moment	0.0	μB per formula unit

abc: 7.514 7.514 7.514
angles: 90.00 90.00 90.00
Fractional coordinates of all 16 atoms:
La  0.000  0.000  0.000
La  0.000  0.500  0.500
La  0.500  0.000  0.500
La  0.500  0.500  0.000
Th  0.000  0.000  0.500
Th  0.000  0.500  0.000
Th  0.500  0.000  0.000
Th  0.500  0.500  0.500
Ga  0.250  0.250  0.750
Ga  0.250  0.750  0.250
Ga  0.750  0.250  0.250
Ga  0.750  0.750  0.750
Ag  0.250  0.250  0.250
Ag  0.250  0.750  0.750
Ag  0.750  0.250  0.750
Ag  0.750  0.750  0.250



AgTe2Br: relaxed, GGA-PBE.

Calculated values
E_form (uncorrected)	22	meV per atom
D(E_F)	2.048	states/eV per cell
volume	113	Å³/f.u.
total moment	0.0	μB per formula unit

abc: 6.082 6.082 6.122
angles: 90.00 90.00 90.00
Fractional coordinates of all 8 atoms:
Ag  0.000  0.000  0.000
Ag  0.500  0.500  0.500
Te  0.000  0.500  0.000
Te  0.000  0.500  0.500
Te  0.500  0.000  0.000
Te  0.500  0.000  0.500
Br  0.000  0.000  0.500
Br  0.500  0.500  0.000



ZnPbBr2F: relaxed, GGA-PBE.

Calculated values
E_form (uncorrected)	-458	meV per atom
D(E_F)	4.720	states/eV per cell
volume	158	Å³/f.u.
total moment	0.0	μB per formula unit

abc: 5.998 5.998 4.397
angles: 90.00 90.00 90.00
Fractional coordinates of all 5 atoms:
Zn  0.000  0.000  0.000
Pb  0.500  0.500  0.000
Br  0.000  0.500  0.500
Br  0.500  0.000  0.500
F  0.500  0.500  0.500